(1)
! RbBeBr3 | Alexandria | PBE-GGA | relaxed; values from VASP
! DOS(E_F): 0.0 states/eV per cell
! Uncorrected formation energy: -25.26 kcal/mol of atoms
! SG: I4/mmm (139)
! Energy above the most stable polymorph in this dataset: 248.8 meV per atom
&SYSTEM
  ibrav = 0, nat = 10, ntyp = 3
/
ATOMIC_SPECIES
Br 79.90 Br.upf
Be 9.01 Be.upf
Rb 85.47 Rb.upf
CELL_PARAMETERS angstrom
-5.535 5.357 0.713
-5.246 -5.571 1.133
-4.511 0.114 6.085
ATOMIC_POSITIONS crystal
Br 0.713 0.287 0.000
Br 0.192 0.192 0.615
Br 0.287 0.287 0.000
Br 0.713 0.713 0.000
Br 0.287 0.713 0.000
Br 0.808 0.808 0.385
Be 0.000 0.000 0.000
Be 0.500 0.500 0.000
Rb 0.750 0.250 0.500
Rb 0.250 0.750 0.500

---

(2)
! SmPa6 | Alexandria | PBE-GGA | relaxed; values from VASP
! DOS(E_F): 23.0 states/eV per cell
! SG: Im-3m (229)
! Energy of formation: 1346 meV/atom
&SYSTEM
  ibrav = 0, nat = 7, ntyp = 2
/
ATOMIC_SPECIES
Pa 231.04 Pa.upf
Sm 150.36 Sm.upf
CELL_PARAMETERS angstrom
6.633 0.000 0.000
-2.211 6.254 0.000
-2.211 -3.127 5.416
ATOMIC_POSITIONS crystal
Pa 0.750 0.250 0.500
Pa 0.500 0.250 0.750
Pa 0.250 0.750 0.500
Pa 0.750 0.500 0.250
Pa 0.500 0.750 0.250
Pa 0.250 0.500 0.750
Sm 0.000 0.000 0.000

---

(3)
! CsSr2Cd2Pb2 | Alexandria | PBE-GGA | relaxed; values from VASP
! DOS(E_F): 1.6 states/eV per cell
! SG: R-3m (166)
! Energy of formation: -296 meV/atom
&SYSTEM
  ibrav = 0, nat = 7, ntyp = 4
/
ATOMIC_SPECIES
Cd 112.41 Cd.upf
Cs 132.91 Cs.upf
Pb 207.20 Pb.upf
Sr 87.62 Sr.upf
CELL_PARAMETERS angstrom
-3.984 1.021 -3.490
0.628 -1.172 -5.227
-5.263 -10.168 -1.135
ATOMIC_POSITIONS crystal
Cd 0.438 0.438 0.687
Cd 0.562 0.562 0.313
Cs 0.000 0.000 0.000
Pb 0.753 0.753 0.741
Pb 0.247 0.247 0.259
Sr 0.135 0.135 0.596
Sr 0.865 0.865 0.404